Record 1
Here is a relaxed structure of CaPtI3 from the Alexandria database. Energies are from GGA-PBE.

Unit cell a=5.5341 b=5.5341 c=5.5341 alpha=90.00 beta=90.00 gamma=90.00
Closest atoms and distances in Å follow each position.
Positions (direct):
I 0.0000 0.5000 0.0000  2 Pt 2.77
I 0.5000 0.0000 0.0000  2 Pt 2.77
Ca 0.5000 0.5000 0.5000  12 I 3.91
Pt 0.0000 0.0000 0.0000  6 I 2.77
I 0.0000 0.0000 0.5000  2 Pt 2.77

Computed properties:
Energy relative to the elements, uncorrected ... -0.47 eV per atom
SG ... Pm-3m
Total magnetic moment ... 0.000 μB per formula unit
Energy ... -15.1 eV/cell



Record 2
Here is a relaxed structure of Ca4PtI2 from the Alexandria database. Energies are from GGA-PBE.

Unit cell a=5.4621 b=5.4621 c=10.2919 alpha=74.61 beta=74.61 gamma=90.00
Closest atoms and distances in Å follow each position.
Positions (direct):
Pt 0.0000 0.0000 0.0000  6 Ca 2.73-2.89
I 0.3177 0.3177 0.3647  1 Ca 3.17
Ca 0.0000 0.5000 0.0000  2 Pt 2.73
Ca 0.8484 0.8484 0.3031  1 Pt 2.89, 1 I 3.17
Ca 0.1516 0.1516 0.6969  1 Pt 2.89, 1 I 3.17
I 0.6823 0.6823 0.6353  1 Ca 3.17
Ca 0.5000 0.0000 0.0000  2 Pt 2.73

Computed properties:
Energy relative to the elements, uncorrected ... -0.80 eV per atom
SG ... I4/mmm
Total magnetic moment ... 0.000 μB per formula unit
Energy ... -22.7 eV/cell



Record 3
Here is a relaxed structure of CaSb2PtI from the Alexandria database. Energies are from GGA-PBE.

Unit cell a=5.8015 b=5.8015 c=5.5703 alpha=90.00 beta=90.00 gamma=90.00
Closest atoms and distances in Å follow each position.
Positions (direct):
I 0.0000 0.0000 0.5000  2 Ca 2.79
Sb 0.5000 0.0000 0.0000  2 Ca 2.90
Pt 0.5000 0.5000 0.5000  8 Sb 4.02, 4 I 4.10
Ca 0.0000 0.0000 0.0000  2 I 2.79, 4 Sb 2.90
Sb 0.0000 0.5000 0.0000  2 Ca 2.90

Computed properties:
Energy relative to the elements, uncorrected ... 0.92 eV per atom
SG ... P4/mmm
Total magnetic moment ... 0.000 μB per formula unit
Energy ... -13.3 eV/cell



Record 4
Here is a relaxed structure of CaSb2PtI from the Alexandria database. Energies are from GGA-PBE.

Unit cell a=5.2737 b=5.2737 c=5.7280 alpha=90.00 beta=90.00 gamma=90.00
Closest atoms and distances in Å follow each position.
Positions (direct):
Sb 0.0000 0.5000 0.0000  2 Pt 2.64
I 0.0000 0.0000 0.5000  2 Pt 2.86
Pt 0.0000 0.0000 0.0000  4 Sb 2.64, 2 I 2.86
Sb 0.5000 0.0000 0.0000  2 Pt 2.64
Ca 0.5000 0.5000 0.5000  4 I 3.73, 8 Sb 3.89

Computed properties:
Energy relative to the elements, uncorrected ... -0.11 eV per atom
SG ... P4/mmm
Total magnetic moment ... 0.552 μB per formula unit
Energy ... -18.4 eV/cell



Record 5
Here is a relaxed structure of Sr2CaPtI from the Alexandria database. Energies are from GGA-PBE.

Unit cell a=6.0210 b=6.0210 c=5.5706 alpha=90.00 beta=90.00 gamma=90.00
Closest atoms and distances in Å follow each position.
Positions (direct):
Sr 0.5000 0.0000 0.0000  2 Pt 3.01
Sr 0.0000 0.5000 0.0000  2 Pt 3.01
I 0.5000 0.5000 0.5000  8 Sr 4.10, 4 Ca 4.26
Ca 0.0000 0.0000 0.5000  2 Pt 2.79
Pt 0.0000 0.0000 0.0000  2 Ca 2.79, 4 Sr 3.01

Computed properties:
Energy relative to the elements, uncorrected ... -0.75 eV per atom
SG ... P4/mmm
Total magnetic moment ... 0.000 μB per formula unit
Energy ... -16.7 eV/cell



Record 6
Here is a relaxed structure of CaTePtI2 from the Alexandria database. Energies are from GGA-PBE.

Unit cell a=5.4601 b=5.4601 c=5.5330 alpha=90.00 beta=90.00 gamma=90.00
Closest atoms and distances in Å follow each position.
Positions (direct):
Pt 0.0000 0.0000 0.0000  4 I 2.73, 2 Te 2.77
I 0.5000 0.0000 0.0000  2 Pt 2.73
Ca 0.5000 0.5000 0.5000  4 Te 3.86, 8 I 3.89
Te 0.0000 0.0000 0.5000  2 Pt 2.77
I 0.0000 0.5000 0.0000  2 Pt 2.73

Computed properties:
Energy relative to the elements, uncorrected ... -0.43 eV per atom
SG ... P4/mmm
Total magnetic moment ... 0.000 μB per formula unit
Energy ... -16.4 eV/cell



Record 7
Here is a relaxed structure of CaTe2PtI from the Alexandria database. Energies are from GGA-PBE.

Unit cell a=5.8604 b=5.8604 c=5.7264 alpha=90.00 beta=90.00 gamma=90.00
Closest atoms and distances in Å follow each position.
Positions (direct):
Ca 0.0000 0.0000 0.0000  2 I 2.86, 4 Te 2.93
Te 0.0000 0.5000 0.0000  2 Ca 2.93
I 0.0000 0.0000 0.5000  2 Ca 2.86
Pt 0.5000 0.5000 0.5000  8 Te 4.10, 4 I 4.14
Te 0.5000 0.0000 0.0000  2 Ca 2.93

Computed properties:
Energy relative to the elements, uncorrected ... 0.62 eV per atom
SG ... P4/mmm
Total magnetic moment ... 1.611 μB per formula unit
Energy ... -12.8 eV/cell



Record 8
Here is a relaxed structure of CaTePtI2 from the Alexandria database. Energies are from GGA-PBE.

Unit cell a=5.8466 b=5.8466 c=6.1816 alpha=90.00 beta=90.00 gamma=90.00
Closest atoms and distances in Å follow each position.
Positions (direct):
Pt 0.5000 0.5000 0.5000  4 Te 4.13, 8 I 4.25
Ca 0.0000 0.0000 0.0000  4 I 2.92, 2 Te 3.09
Te 0.0000 0.0000 0.5000  2 Ca 3.09
I 0.0000 0.5000 0.0000  2 Ca 2.92
I 0.5000 0.0000 0.0000  2 Ca 2.92

Computed properties:
Energy relative to the elements, uncorrected ... 0.39 eV per atom
SG ... P4/mmm
Total magnetic moment ... 2.046 μB per formula unit
Energy ... -12.3 eV/cell